VASP calculation (PBE) on crystalline Sr3SnN at its relaxed geometry.

Cell lengths 17.318, 6.990, 6.990 Å; angles 131.98, 143.47, 36.53 degrees
Positions (direct):
Sr 0.920 0.425 0.575
Sr 0.194 0.730 0.270
Sr 0.080 0.575 0.425
Sr 0.806 0.270 0.730
Sr 0.646 0.191 0.809
Sr 0.354 0.809 0.191
N 0.936 0.924 0.076
N 0.064 0.076 0.924
Sn 0.563 0.035 0.965
Sn 0.437 0.965 0.035

* energy relative to the elements, uncorrected: -54 kJ/mol of atoms
* VASP energy: -40.38 eV per cell
* space group: C2/m, No. 12